No. 1
Compound: ScTc2Te
Source: the Alexandria database
Functional: PBEsol
Structure: optimized geometry

ΔE_f (raw), eV per atom: -0.02
Space group: Pmm2, No. 25
Total DFT energy (no corrections), eV for the cell shown: -32.74

POSCAR file:
```
ScTc2Te
1.0
3.0902 0.0000 0.0000
0.0000 4.1318 0.0000
0.0000 0.0000 5.2886
Sc Te Tc
1 1 2
direct
0.5000 0.5000 0.7597 Sc
0.0000 0.0000 0.4950 Te
0.5000 0.5000 0.2315 Tc
0.0000 0.0000 0.0138 Tc
```

=====

No. 2
Compound: Sc2TcTe
Source: the Alexandria database
Functional: PBEsol
Structure: optimized geometry

ΔE_f (raw), eV per atom: 0.05
Space group: R3m, No. 160
Total DFT energy (no corrections), eV for the cell shown: -27.82

POSCAR file:
```
Sc2TcTe
1.0
3.2572 0.0000 0.0000
1.6286 2.8209 0.0000
1.6286 0.9403 9.0108
Sc Te Tc
2 1 1
direct
0.9957 0.9957 0.0128 Sc
0.7608 0.7608 0.7175 Sc
0.2399 0.2399 0.2804 Te
0.5036 0.5036 0.4893 Tc
```

=====

No. 3
Compound: ScTc2Te
Source: the Alexandria database
Functional: PBEsol
Structure: optimized geometry

ΔE_f (raw), eV per atom: -0.01
Space group: P4/mmm, No. 123
Total DFT energy (no corrections), eV for the cell shown: -32.71

POSCAR file:
```
ScTc2Te
1.0
3.2488 0.0000 0.0000
0.0000 3.2488 0.0000
0.0000 0.0000 6.3114
Te Tc Sc
1 2 1
direct
0.5000 0.5000 0.0000 Te
0.0000 0.0000 0.7625 Tc
0.0000 0.0000 0.2375 Tc
0.5000 0.5000 0.5000 Sc
```

=====

No. 4
Compound: ScTc2Te
Source: the Alexandria database
Functional: PBEsol
Structure: optimized geometry

ΔE_f (raw), eV per atom: 0.45
Space group: Cmmm, No. 65
Total DFT energy (no corrections), eV for the cell shown: -30.87

POSCAR file:
```
ScTc2Te
1.0
3.0399 0.0037 0.0000
-1.2088 2.7892 0.0000
0.0000 0.0000 8.3051
Tc Te Sc
2 1 1
direct
0.0000 0.0000 0.7434 Tc
0.0000 0.0000 0.2566 Tc
0.5000 0.5000 0.5000 Te
0.5000 0.5000 0.0000 Sc
```

=====

No. 5
Compound: ScTcTe
Source: the Alexandria database
Functional: PBEsol
Structure: optimized geometry

ΔE_f (raw), eV per atom: 0.07
Space group: F-43m, No. 216
Total DFT energy (no corrections), eV for the cell shown: -21.19

POSCAR file:
```
ScTcTe
1.0
-0.4646 3.9265 2.0483
0.6046 0.3004 4.4015
3.5755 2.1042 1.6177
Te Sc Tc
1 1 1
direct
0.7500 0.7500 0.7500 Te
0.0000 0.0000 0.0000 Sc
0.5000 0.5000 0.5000 Tc
```

=====

No. 6
Compound: ScTiTc3
Source: the Alexandria database
Functional: PBEsol
Structure: optimized geometry

DFT formation energy, eV/atom: 0.94
Space group: Pm-3m, No. 221
Total DFT energy (no corrections), eV for the cell shown: -44.02

POSCAR file:
```
ScTiTc3
1.0
-0.8703 -4.3862 -0.2091
3.7774 -0.8565 2.2443
-2.2390 0.2599 3.8677
Tc Ti Sc
3 1 1
direct
0.0000 0.0000 0.5000 Tc
0.0000 0.5000 0.0000 Tc
0.5000 0.0000 0.0000 Tc
0.0000 0.0000 0.0000 Ti
0.5000 0.5000 0.5000 Sc
```

=====

No. 7
Compound: ScTl2Tc
Source: the Alexandria database
Functional: PBEsol
Structure: optimized geometry

DFT formation energy, eV/atom: 0.27
Space group: P2/m, No. 10
Total DFT energy (no corrections), eV for the cell shown: -22.07
Excess energy over the best structure of this formula in the dataset, eV/atom: 0.1266

POSCAR file:
```
ScTl2Tc
1.0
-2.4908 -1.5166 -0.8764
1.8630 -0.6522 -4.1664
3.5254 -4.0953 2.2175
Tl Tc Sc
2 1 1
direct
0.9089 0.0000 0.7394 Tl
0.0911 0.0000 0.2606 Tl
0.5000 0.5000 0.5000 Tc
0.5000 0.5000 0.0000 Sc
```

=====

No. 8
Compound: ScTlTc2
Source: the Alexandria database
Functional: PBEsol
Structure: optimized geometry

DFT formation energy, eV/atom: 0.33
Space group: Immm, No. 71
Total DFT energy (no corrections), eV for the cell shown: -30.46
Excess energy over the best structure of this formula in the dataset, eV/atom: 0.1959

POSCAR file:
```
ScTlTc2
1.0
3.2935 0.0000 0.0000
0.0000 4.5114 0.0000
-1.6467 -2.2557 4.5612
Tc Sc Tl
2 1 1
direct
0.7411 0.7411 0.4822 Tc
0.2589 0.2589 0.5178 Tc
0.0000 0.5000 0.0000 Sc
0.5000 0.0000 0.0000 Tl
```